(1)
# Na4AlCr3P8O28 (PBEsol, optimized geometry)
# Crystal system ... triclinic
# Energy relative to the elements, uncorrected ... -2.269 eV/atom
data_Na4AlCr3P8O28
_cell_length_a 7.2850
_cell_length_b 7.7784
_cell_length_c 9.4353
_cell_angle_alpha 90.06
_cell_angle_beta 111.66
_cell_angle_gamma 90.15
_space_group_name_H-M_alt 'P 1'
_space_group_IT_number 1
_space_group_name_Hall 'P 1'
loop_
_atom_site_label
_atom_site_type_symbol
_atom_site_fract_x
_atom_site_fract_y
_atom_site_fract_z
_atom_site_occupancy
Na1 Na 0.0000 0.0000 0.0000 1
Na2 Na 0.0000 0.4505 0.5006 1
Na3 Na 0.5834 0.9530 0.5938 1
Na4 Na 0.5842 0.5003 0.0919 1
Al1 Al 0.5502 0.4846 0.5445 1
Cr1 Cr 0.0319 0.9826 0.5491 1
Cr2 Cr 0.0330 0.4684 0.0495 1
Cr3 Cr 0.5518 0.9682 0.0434 1
P1 P 0.2177 0.2213 0.8420 1
P2 P 0.2194 0.2306 0.3427 1
P3 P 0.3633 0.7273 0.7484 1
P4 P 0.3691 0.7194 0.2528 1
P5 P 0.6182 0.2682 0.8392 1
P6 P 0.6192 0.1862 0.3430 1
P7 P 0.9600 0.6846 0.7507 1
P8 P 0.9655 0.7656 0.2523 1
O1 O 0.1006 0.3406 0.9020 1
O2 O 0.1019 0.1116 0.4030 1
O3 O 0.1018 0.1904 0.6729 1
O4 O 0.1024 0.2615 0.1737 1
O5 O 0.1643 0.6234 0.7342 1
O6 O 0.1727 0.8250 0.2398 1
O7 O 0.2825 0.0569 0.9371 1
O8 O 0.2904 0.3937 0.4383 1
O9 O 0.3006 0.8932 0.6554 1
O10 O 0.3027 0.5568 0.1547 1
O11 O 0.4135 0.1220 0.3554 1
O12 O 0.4141 0.3279 0.8568 1
O13 O 0.4716 0.6061 0.6823 1
O14 O 0.4827 0.7589 0.9173 1
O15 O 0.4848 0.6826 0.4205 1
O16 O 0.4850 0.8406 0.1925 1
O17 O 0.5994 0.2833 0.6736 1
O18 O 0.6038 0.1791 0.1772 1
O19 O 0.6488 0.0790 0.8903 1
O20 O 0.6488 0.3726 0.4016 1
O21 O 0.7612 0.0600 0.4506 1
O22 O 0.7612 0.3920 0.9499 1
O23 O 0.8124 0.5613 0.6428 1
O24 O 0.8245 0.8910 0.1425 1
O25 O 0.9303 0.8731 0.6985 1
O26 O 0.9331 0.5769 0.1996 1
O27 O 0.9803 0.6765 0.9173 1
O28 O 0.9798 0.7740 0.4175 1

=====

(2)
# NbAl3Cr (PBEsol, optimized geometry)
# Crystal system ... cubic
# Formation enthalpy at 0 K ... 3.68 eV per formula unit
# DOS(E_F) ... 5.0 states/eV/f.u.
data_NbAl3Cr
_cell_length_a 4.4336
_cell_length_b 4.4336
_cell_length_c 4.4336
_cell_angle_alpha 90.00
_cell_angle_beta 90.00
_cell_angle_gamma 90.00
_space_group_name_H-M_alt 'P m -3 m'
_space_group_IT_number 221
_space_group_name_Hall '-P 4 2 3'
loop_
_atom_site_label
_atom_site_type_symbol
_atom_site_fract_x
_atom_site_fract_y
_atom_site_fract_z
_atom_site_occupancy
Nb1 Nb 0.0000 0.0000 0.0000 1
Al1 Al 0.0000 0.5000 0.5000 1
Cr1 Cr 0.5000 0.5000 0.5000 1

=====

(3)
# Al2CrNi (PBEsol, optimized geometry)
# Crystal system ... tetragonal
# Formation enthalpy at 0 K ... -1.30 eV per formula unit
# DOS(E_F) ... 1.9 states/eV/f.u.
data_Al2CrNi
_cell_length_a 4.0083
_cell_length_b 4.0083
_cell_length_c 3.0849
_cell_angle_alpha 90.00
_cell_angle_beta 90.00
_cell_angle_gamma 90.00
_space_group_name_H-M_alt 'P 4/m m m'
_space_group_IT_number 123
_space_group_name_Hall '-P 4 2'
loop_
_atom_site_label
_atom_site_type_symbol
_atom_site_fract_x
_atom_site_fract_y
_atom_site_fract_z
_atom_site_occupancy
Al1 Al 0.0000 0.5000 0.0000 1
Cr1 Cr 0.0000 0.0000 0.5000 1
Ni1 Ni 0.5000 0.5000 0.5000 1

=====

(4)
# AlCrNi2 (PBEsol, optimized geometry)
# Crystal system ... monoclinic
# Formation enthalpy at 0 K ... -0.66 eV per formula unit
# DOS(E_F) ... 3.8 states/eV/f.u.
data_AlCrNi2
_cell_length_a 8.3834
_cell_length_b 2.5535
_cell_length_c 4.3288
_cell_angle_alpha 90.00
_cell_angle_beta 100.97
_cell_angle_gamma 90.00
_space_group_name_H-M_alt 'C 1 m 1'
_space_group_IT_number 8
_space_group_name_Hall 'C -2y'
loop_
_atom_site_label
_atom_site_type_symbol
_atom_site_fract_x
_atom_site_fract_y
_atom_site_fract_z
_atom_site_occupancy
Al1 Al 0.0000 0.0000 0.0000 1
Cr1 Cr 0.2416 0.0000 0.6830 1
Ni1 Ni 0.2459 0.5000 0.2004 1
Ni2 Ni 0.4948 0.0000 0.4927 1

=====

(5)
# Al2CrNi (PBEsol, optimized geometry)
# Crystal system ... monoclinic
# Formation enthalpy at 0 K ... -0.85 eV per formula unit
# DOS(E_F) ... 1.9 states/eV/f.u.
data_Al2CrNi
_cell_length_a 9.2809
_cell_length_b 2.6264
_cell_length_c 4.3797
_cell_angle_alpha 90.00
_cell_angle_beta 111.26
_cell_angle_gamma 90.00
_space_group_name_H-M_alt 'C 1 m 1'
_space_group_IT_number 8
_space_group_name_Hall 'C -2y'
loop_
_atom_site_label
_atom_site_type_symbol
_atom_site_fract_x
_atom_site_fract_y
_atom_site_fract_z
_atom_site_occupancy
Al1 Al 0.0000 0.0000 0.0000 1
Al2 Al 0.2264 0.0000 0.6089 1
Cr1 Cr 0.2515 0.5000 0.1196 1
Ni1 Ni 0.4822 0.0000 0.5015 1

=====

(6)
# AlCrNi2 (PBEsol, optimized geometry)
# Crystal system ... tetragonal
# Formation enthalpy at 0 K ... -0.63 eV per formula unit
# DOS(E_F) ... 4.4 states/eV/f.u.
data_AlCrNi2
_cell_length_a 3.5381
_cell_length_b 3.5381
_cell_length_c 7.4887
_cell_angle_alpha 90.00
_cell_angle_beta 90.00
_cell_angle_gamma 90.00
_space_group_name_H-M_alt 'I -4 m 2'
_space_group_IT_number 119
_space_group_name_Hall 'I -4 -2'
loop_
_atom_site_label
_atom_site_type_symbol
_atom_site_fract_x
_atom_site_fract_y
_atom_site_fract_z
_atom_site_occupancy
Al1 Al 0.0000 0.0000 0.0000 1
Cr1 Cr 0.0000 0.5000 0.2500 1
Ni1 Ni 0.0000 0.0000 0.5000 1
Ni2 Ni 0.0000 0.5000 0.7500 1

=====

(7)
# AlCr2Ni (PBEsol, optimized geometry)
# Crystal system ... orthorhombic
# Formation enthalpy at 0 K ... -0.14 eV per formula unit
# DOS(E_F) ... 3.5 states/eV/f.u.
data_AlCr2Ni
_cell_length_a 3.0095
_cell_length_b 3.9582
_cell_length_c 7.7497
_cell_angle_alpha 90.00
_cell_angle_beta 90.00
_cell_angle_gamma 90.00
_space_group_name_H-M_alt 'C m m 2'
_space_group_IT_number 35
_space_group_name_Hall 'C 2 -2'
loop_
_atom_site_label
_atom_site_type_symbol
_atom_site_fract_x
_atom_site_fract_y
_atom_site_fract_z
_atom_site_occupancy
Al1 Al 0.0000 0.0000 0.0000 1
Cr1 Cr 0.0000 0.0000 0.4852 1
Cr2 Cr 0.0000 0.5000 0.7333 1
Ni1 Ni 0.0000 0.5000 0.2422 1

=====

(8)
# Al2CrNi (PBEsol, optimized geometry)
# Crystal system ... cubic
# Formation enthalpy at 0 K ... -0.34 eV per formula unit
# DOS(E_F) ... 2.2 states/eV/f.u.
data_Al2CrNi
_cell_length_a 5.9250
_cell_length_b 5.9250
_cell_length_c 5.9250
_cell_angle_alpha 90.00
_cell_angle_beta 90.00
_cell_angle_gamma 90.00
_space_group_name_H-M_alt 'F -4 3 m'
_space_group_IT_number 216
_space_group_name_Hall 'F -4 2 3'
loop_
_atom_site_label
_atom_site_type_symbol
_atom_site_fract_x
_atom_site_fract_y
_atom_site_fract_z
_atom_site_occupancy
Al1 Al 0.0000 0.0000 0.0000 1
Al2 Al 0.2500 0.2500 0.2500 1
Cr1 Cr 0.2500 0.2500 0.7500 1
Ni1 Ni 0.0000 0.0000 0.5000 1

=====

(9)
# AlCrO3 (PBEsol, optimized geometry)
# Crystal system ... cubic
# Energy relative to the elements, uncorrected ... -1.639 eV/atom
# DOS(E_F) ... 2.7 states/eV/f.u.
data_AlCrO3
_cell_length_a 3.6053
_cell_length_b 3.6053
_cell_length_c 3.6053
_cell_angle_alpha 90.00
_cell_angle_beta 90.00
_cell_angle_gamma 90.00
_space_group_name_H-M_alt 'P m -3 m'
_space_group_IT_number 221
_space_group_name_Hall '-P 4 2 3'
loop_
_atom_site_label
_atom_site_type_symbol
_atom_site_fract_x
_atom_site_fract_y
_atom_site_fract_z
_atom_site_occupancy
Al1 Al 0.0000 0.0000 0.0000 1
Cr1 Cr 0.5000 0.5000 0.5000 1
O1 O 0.0000 0.0000 0.5000 1

=====

(10)
# Al2CrO5 (PBEsol, optimized geometry)
# Energy above the lowest structure with this stoichiometry ... 0.00 kJ per mole of atoms
# Crystal system ... monoclinic
# Energy relative to the elements, uncorrected ... -2.573 eV/atom
# DOS(E_F) ... 2.9 states/eV/f.u.
data_Al2CrO5
_cell_length_a 9.4894
_cell_length_b 4.8597
_cell_length_c 6.7484
_cell_angle_alpha 90.00
_cell_angle_beta 111.39
_cell_angle_gamma 90.00
_space_group_name_H-M_alt 'C 1 2/c 1'
_space_group_IT_number 15
_space_group_name_Hall '-C 2yc'
loop_
_atom_site_label
_atom_site_type_symbol
_atom_site_fract_x
_atom_site_fract_y
_atom_site_fract_z
_atom_site_occupancy
Al1 Al 0.1297 0.0103 0.2170 1
Cr1 Cr 0.0000 0.5000 0.0000 1
O1 O 0.0000 0.3014 0.7500 1
O2 O 0.0840 0.1563 0.4471 1
O3 O 0.1882 0.3492 0.1527 1

=====

(11)
# Al3CrO6 (PBEsol, optimized geometry)
# Energy above the lowest structure with this stoichiometry ... 0.24 kJ per mole of atoms
# Crystal system ... trigonal
# Energy relative to the elements, uncorrected ... -2.768 eV/atom
# DOS(E_F) ... 0.0 states/eV/f.u.
data_Al3CrO6
_cell_length_a 4.8259
_cell_length_b 4.8259
_cell_length_c 13.1263
_cell_angle_alpha 90.00
_cell_angle_beta 90.00
_cell_angle_gamma 120.00
_space_group_name_H-M_alt 'R 3'
_space_group_IT_number 146
_space_group_name_Hall 'R 3'
loop_
_atom_site_label
_atom_site_type_symbol
_atom_site_fract_x
_atom_site_fract_y
_atom_site_fract_z
_atom_site_occupancy
Al1 Al 0.0000 0.0000 0.0000 1
Al2 Al 0.0000 0.0000 0.2024 1
Al3 Al 0.0000 0.0000 0.4985 1
Cr1 Cr 0.0000 0.0000 0.7002 1
O1 O 0.0035 0.6908 0.5994 1
O2 O 0.0120 0.3059 0.1019 1

=====

(12)
# Al3CrO6 (PBEsol, optimized geometry)
# Energy above the lowest structure with this stoichiometry ... 0.00 kJ per mole of atoms
# Crystal system ... monoclinic
# Energy relative to the elements, uncorrected ... -2.770 eV/atom
# DOS(E_F) ... 0.0 states/eV/f.u.
data_Al3CrO6
_cell_length_a 5.1853
_cell_length_b 4.8245
_cell_length_c 7.0894
_cell_angle_alpha 90.00
_cell_angle_beta 95.66
_cell_angle_gamma 90.00
_space_group_name_H-M_alt 'P 1 c 1'
_space_group_IT_number 7
_space_group_name_Hall 'P -2yc'
loop_
_atom_site_label
_atom_site_type_symbol
_atom_site_fract_x
_atom_site_fract_y
_atom_site_fract_z
_atom_site_occupancy
Al1 Al 0.0000 0.0016 0.0000 1
Al2 Al 0.0902 0.4979 0.7059 1
Al3 Al 0.4945 0.4979 0.5027 1
Cr1 Cr 0.5958 0.0018 0.2025 1
O1 O 0.1410 0.3444 0.9500 1
O2 O 0.2862 0.1987 0.5981 1
O3 O 0.4431 0.3603 0.2568 1
O4 O 0.6474 0.1628 0.9541 1
O5 O 0.7953 0.3091 0.5992 1
O6 O 0.9549 0.1535 0.2575 1

=====

Taking the records one at a time from the top gives M_tot values of 9.00, 1.28, 1.79, 1.26, 0.00, 3.07, 0.00, 3.19, 3.00, 2.00, 3.00, 3.00 μB/f.u..
Taking the records one at a time from the top gives volume values of 11.3, 17.4, 12.4, 11.4, 12.4, 11.7, 11.5, 13.0, 9.4, 9.1, 8.8, 8.8 Å³ per atom.